CaGa3S after structural relaxation, computed with PBE.

total DFT energy (no corrections): -2.993 eV/atom
size of the total moment: 0.00 μB/cell
E above lowest polymorph: 0.0000 eV per atom
raw formation energy: 4.7 kJ per mole of atoms

abc: 5.049 5.049 5.049
angles: 90.00 90.00 90.00
Sites, in units of the cell vectors:
Ga  0.000  0.000  0.500
Ga  0.000  0.500  0.000
Ga  0.500  0.000  0.000
S  0.000  0.000  0.000
Ca  0.500  0.500  0.500

ReNiTe2I after structural relaxation, computed with PBE.

total DFT energy (no corrections): -4.047 eV/atom
size of the total moment: 0.93 μB/cell
E above lowest polymorph: 0.0000 eV per atom
raw formation energy: 112.4 kJ per mole of atoms

abc: 5.107 5.107 5.847
angles: 90.00 90.00 90.00
Sites, in units of the cell vectors:
Re  0.000  0.000  0.000
I  0.000  0.000  0.500
Ni  0.500  0.500  0.500
Te  0.000  0.500  0.000
Te  0.500  0.000  0.000

BaCu2O after structural relaxation, computed with PBE.

total DFT energy (no corrections): -4.036 eV/atom
size of the total moment: 0.00 μB/cell
E above lowest polymorph: 0.0000 eV per atom
raw formation energy: -25.9 kJ per mole of atoms

abc: 4.629 4.629 8.370
angles: 73.95 73.95 90.00
Sites, in units of the cell vectors:
O  0.250  0.750  0.500
O  0.500  0.500  0.000
Cu  0.375  0.625  0.750
Cu  0.375  0.125  0.250
Cu  0.375  0.625  0.250
Cu  0.875  0.625  0.750
Ba  0.750  0.250  0.500
Ba  0.000  0.000  0.000

CuRuCl2 after structural relaxation, computed with PBE.

total DFT energy (no corrections): -3.888 eV/atom
size of the total moment: 0.83 μB/cell
E above lowest polymorph: 0.3476 eV per atom
raw formation energy: 36.5 kJ per mole of atoms

abc: 3.265 3.265 7.614
angles: 90.00 90.00 124.30
Sites, in units of the cell vectors:
Cl  0.000  0.000  0.003
Cl  0.000  0.000  0.497
Ru  0.500  0.500  0.750
Cu  0.500  0.500  0.250

Nd2Dy8Tc after structural relaxation, computed with PBE.

total DFT energy (no corrections): -5.131 eV/atom
size of the total moment: 0.00 μB/cell

abc: 5.485 6.702 9.538
angles: 86.72 106.71 90.00
Sites, in units of the cell vectors:
Tc  0.500  0.000  0.000
Dy  0.161  0.836  0.322
Dy  0.420  0.378  0.839
Dy  0.580  0.622  0.161
Dy  0.642  0.117  0.284
Dy  0.839  0.164  0.678
Dy  0.968  0.766  0.936
Dy  0.032  0.234  0.064
Dy  0.358  0.883  0.716
Nd  0.226  0.334  0.452
Nd  0.774  0.666  0.548

NdEr5TmSc2 after structural relaxation, computed with PBE.

total DFT energy (no corrections): -4.798 eV/atom
size of the total moment: 0.00 μB/cell

abc: 5.557 11.049 9.246
angles: 90.00 90.00 104.57
Sites, in units of the cell vectors:
Nd  0.184  0.369  0.017
Nd  0.816  0.631  0.517
Er  0.607  0.214  0.548
Er  0.393  0.786  0.048
Er  0.009  0.018  0.016
Er  0.692  0.384  0.219
Er  0.468  0.937  0.749
Er  0.265  0.531  0.334
Er  0.532  0.063  0.249
Er  0.735  0.469  0.834
Er  0.991  0.982  0.516
Er  0.308  0.616  0.719
Sc  0.887  0.774  0.824
Sc  0.862  0.723  0.197
Sc  0.113  0.226  0.324
Sc  0.138  0.277  0.697
Tm  0.403  0.807  0.420
Tm  0.597  0.193  0.920

Sr2MoPt after structural relaxation, computed with PBE.

total DFT energy (no corrections): -4.624 eV/atom
size of the total moment: 0.00 μB/cell
E above lowest polymorph: 0.3023 eV per atom

abc: 3.289 3.289 9.160
angles: 90.00 90.00 90.00
Sites, in units of the cell vectors:
Pt  0.500  0.500  0.750
Mo  0.500  0.500  0.250
Sr  0.000  0.000  0.526
Sr  0.000  0.000  0.974